# 1
Crystalline Tc2AsRu at its relaxed geometry. Source: Alexandria via LeMat-Bulk, functional PBE-GGA.

Unit cell a=4.978 b=8.261 c=2.861 alpha=90.00 beta=90.24 gamma=90.00
Space group C2/m (No. 12)
Inequivalent atoms, fractional coordinates:
Tc 0.250 0.250 0.000 [4 per cell]
As 0.000 0.000 0.500 [2 per cell]
Ru 0.000 0.500 0.500 [2 per cell]

For the energy relative to the elements, the calculation gives 0.204 eV/atom. For the total energy, the calculation gives -67.68 eV/cell.

=====

# 2
Crystalline Tc2AsRu at its relaxed geometry. Source: Alexandria via LeMat-Bulk, functional PBE-GGA.

Unit cell a=6.167 b=6.167 c=6.167 alpha=90.00 beta=90.00 gamma=90.00
Space group F-43m (No. 216)
Inequivalent atoms, fractional coordinates:
Tc 0.000 0.000 0.000 [4 per cell]
Tc 0.250 0.250 0.250 [4 per cell]
As 0.250 0.250 0.750 [4 per cell]
Ru 0.000 0.000 0.500 [4 per cell]

For the energy relative to the elements, the calculation gives 0.227 eV/atom. For the total energy, the calculation gives -134.99 eV/cell.

=====

# 3
Crystalline Tc2AsRu at its relaxed geometry. Source: Alexandria via LeMat-Bulk, functional PBE-GGA.

Unit cell a=2.922 b=4.756 c=8.660 alpha=90.00 beta=90.00 gamma=90.00
Space group Cmm2 (No. 35)
Inequivalent atoms, fractional coordinates:
Tc 0.000 0.000 0.000 [2 per cell]
Tc 0.000 0.500 0.249 [2 per cell]
As 0.000 0.500 0.746 [2 per cell]
Ru 0.000 0.000 0.507 [2 per cell]

For the energy relative to the elements, the calculation gives 0.408 eV/atom. For the total energy, the calculation gives -66.05 eV/cell.

=====

# 4
Crystalline Tc2AsRu at its relaxed geometry. Source: Alexandria via LeMat-Bulk, functional PBE-GGA.

Unit cell a=2.814 b=4.029 c=5.296 alpha=90.00 beta=103.37 gamma=90.00
Space group P2/m (No. 10)
Inequivalent atoms, fractional coordinates:
Tc 0.113 0.000 0.254 [2 per cell]
As 0.500 0.500 0.500 [1 per cell]
Ru 0.500 0.500 0.000 [1 per cell]

For the energy relative to the elements, the calculation gives 0.089 eV/atom. For the total energy, the calculation gives -34.30 eV/cell.

=====

# 5
Crystalline TcAsRu3 at its relaxed geometry. Source: Alexandria via LeMat-Bulk, functional PBE-GGA.

Unit cell a=4.474 b=4.474 c=4.474 alpha=90.00 beta=90.00 gamma=90.00
Space group Pm-3m (No. 221)
Inequivalent atoms, fractional coordinates:
Tc 0.000 0.000 0.000 [1 per cell]
As 0.500 0.500 0.500 [1 per cell]
Ru 0.000 0.500 0.500 [3 per cell]

For the energy relative to the elements, the calculation gives 1.232 eV/atom. For the total energy, the calculation gives -36.68 eV/cell.

=====

# 6
Crystalline TcAsRu2 at its relaxed geometry. Source: Alexandria via LeMat-Bulk, functional PBE-GGA.

Unit cell a=5.726 b=7.091 c=2.844 alpha=90.00 beta=90.00 gamma=90.00
Space group Cmmm (No. 65)
Inequivalent atoms, fractional coordinates:
Tc 0.000 0.000 0.000 [2 per cell]
As 0.000 0.500 0.000 [2 per cell]
Ru 0.250 0.250 0.500 [4 per cell]

For the energy relative to the elements, the calculation gives 0.208 eV/atom. For the total energy, the calculation gives -65.47 eV/cell.

=====

# 7
Crystalline Tc2AsRu at its relaxed geometry. Source: Alexandria via LeMat-Bulk, functional PBE-GGA.

Unit cell a=5.587 b=5.587 c=10.813 alpha=90.00 beta=90.00 gamma=90.00
Space group I-42d (No. 122)
Inequivalent atoms, fractional coordinates:
Tc 0.243 0.250 0.125 [8 per cell]
As 0.000 0.000 0.500 [4 per cell]
Ru 0.000 0.000 0.000 [4 per cell]

For the energy relative to the elements, the calculation gives 0.788 eV/atom. For the total energy, the calculation gives -126.03 eV/cell.

=====

# 8
Crystalline TcAsRu2 at its relaxed geometry. Source: Alexandria via LeMat-Bulk, functional PBE-GGA.

Unit cell a=8.969 b=2.841 c=4.580 alpha=90.00 beta=96.01 gamma=90.00
Space group Cm (No. 8)
Inequivalent atoms, fractional coordinates:
Tc 0.000 0.000 0.000 [2 per cell]
As 0.229 0.000 0.689 [2 per cell]
Ru 0.239 0.500 0.199 [2 per cell]
Ru 0.476 0.000 0.493 [2 per cell]

For the energy relative to the elements, the calculation gives 0.104 eV/atom. For the total energy, the calculation gives -66.31 eV/cell.

=====

# 9
Crystalline TcAsRu2 at its relaxed geometry. Source: Alexandria via LeMat-Bulk, functional PBE-GGA.

Unit cell a=3.834 b=3.834 c=7.756 alpha=90.00 beta=90.00 gamma=90.00
Space group I-4m2 (No. 119)
Inequivalent atoms, fractional coordinates:
Tc 0.000 0.000 0.000 [2 per cell]
As 0.000 0.500 0.750 [2 per cell]
Ru 0.000 0.000 0.500 [2 per cell]
Ru 0.000 0.500 0.250 [2 per cell]

For the energy relative to the elements, the calculation gives 0.151 eV/atom. For the total energy, the calculation gives -65.92 eV/cell.

=====

# 10
Crystalline TcAsRu2 at its relaxed geometry. Source: Alexandria via LeMat-Bulk, functional PBE-GGA.

Unit cell a=9.018 b=2.830 c=4.564 alpha=90.00 beta=95.20 gamma=90.00
Space group C2/m (No. 12)
Inequivalent atoms, fractional coordinates:
Tc 0.000 0.000 0.000 [2 per cell]
As 0.000 0.500 0.500 [2 per cell]
Ru 0.236 0.500 0.242 [4 per cell]

For the energy relative to the elements, the calculation gives 0.107 eV/atom. For the total energy, the calculation gives -66.28 eV/cell.

=====

# 11
Crystalline TcAsRu3 at its relaxed geometry. Source: Alexandria via LeMat-Bulk, functional PBE-GGA.

Unit cell a=4.634 b=4.634 c=4.634 alpha=90.00 beta=90.00 gamma=90.00
Space group Pm-3m (No. 221)
Inequivalent atoms, fractional coordinates:
Tc 0.000 0.000 0.000 [1 per cell]
As 0.500 0.500 0.500 [1 per cell]
Ru 0.000 0.000 0.500 [3 per cell]

For the energy relative to the elements, the calculation gives 1.640 eV/atom. For the total energy, the calculation gives -34.64 eV/cell.

=====

# 12
Crystalline Tc2AsRu at its relaxed geometry. Source: Alexandria via LeMat-Bulk, functional PBE-GGA.

Unit cell a=2.955 b=4.406 c=8.821 alpha=90.00 beta=90.00 gamma=90.00
Space group Imm2 (No. 44)
Inequivalent atoms, fractional coordinates:
Tc 0.000 0.000 0.000 [2 per cell]
Tc 0.000 0.500 0.227 [2 per cell]
As 0.000 0.500 0.727 [2 per cell]
Ru 0.000 0.000 0.448 [2 per cell]

For the energy relative to the elements, the calculation gives 0.001 eV/atom. For the total energy, the calculation gives -69.31 eV/cell.

=====

# 13
Crystalline TcAsRu2 at its relaxed geometry. Source: Alexandria via LeMat-Bulk, functional PBE-GGA.

Unit cell a=2.875 b=4.812 c=8.652 alpha=90.00 beta=90.00 gamma=90.00
Space group Cmm2 (No. 35)
Inequivalent atoms, fractional coordinates:
Tc 0.000 0.000 0.000 [2 per cell]
As 0.000 0.500 0.749 [2 per cell]
Ru 0.000 0.000 0.515 [2 per cell]
Ru 0.000 0.500 0.252 [2 per cell]

For the energy relative to the elements, the calculation gives 0.488 eV/atom. For the total energy, the calculation gives -63.23 eV/cell.

=====

# 14
Crystalline TcAsRu2 at its relaxed geometry. Source: Alexandria via LeMat-Bulk, functional PBE-GGA.

Unit cell a=2.8262 b=2.8262 c=25.1083 alpha=90.00 beta=90.00 gamma=120.00
Space group R3m (No. 160, hexagonal axes)
Inequivalent atoms, fractional coordinates:
Tc 0.0000 0.0000 0.0000 [3 per cell]
As 0.0000 0.0000 0.7502 [3 per cell]
Ru 0.0000 0.0000 0.2491 [3 per cell]
Ru 0.0000 0.0000 0.4953 [3 per cell]

For the energy relative to the elements, the calculation gives 0.146 eV/atom. For the total energy, the calculation gives -98.96 eV/cell.

=====

# 15
Crystalline Tc2AsRu at its relaxed geometry. Source: Alexandria via LeMat-Bulk, functional PBE-GGA.

Unit cell a=2.971 b=4.398 c=8.844 alpha=90.00 beta=90.00 gamma=90.00
Space group Immm (No. 71)
Inequivalent atoms, fractional coordinates:
Tc 0.000 0.000 0.223 [4 per cell]
As 0.000 0.500 0.500 [2 per cell]
Ru 0.000 0.500 0.000 [2 per cell]

For the energy relative to the elements, the calculation gives 0.023 eV/atom. For the total energy, the calculation gives -69.13 eV/cell.